Entry 1:
Computed, not measured: a geometry-optimized U6Al39Mo8 structure at the PBE level of DFT.

a b c (Å): 11.1369 11.1369 17.0011
angles (deg): 90.00 90.00 120.00
With the nearest neighbours (Å) after each atom.
Atoms (fractional coordinates):
U 0.0000 0.4864 0.0751  1 U 2.57
U 0.0000 0.4864 0.4249  1 U 2.57
U 0.0000 0.5136 0.5751  1 U 2.57
U 0.0000 0.5136 0.9249  1 U 2.57
U 0.4864 0.0000 0.0751  1 U 2.57
U 0.4864 0.0000 0.4249  1 U 2.57
U 0.4864 0.4864 0.5751  1 U 2.57
U 0.4864 0.4864 0.9249  1 U 2.57
U 0.5136 0.0000 0.5751  1 U 2.57
U 0.5136 0.0000 0.9249  1 U 2.57
U 0.5136 0.5136 0.0751  1 U 2.57
U 0.5136 0.5136 0.4249  1 U 2.57
Al 0.0000 0.1555 0.1153  2 Mo 2.57-2.62, 7 Al 2.67-2.88
Al 0.0000 0.1555 0.3847  2 Mo 2.57-2.62, 7 Al 2.67-2.88
Al 0.0000 0.1581 0.7500  2 Mo 2.53
Al 0.0000 0.2513 0.5288  9 Al 2.67-2.96, 1 Mo 2.84
Al 0.0000 0.2513 0.9712  9 Al 2.67-2.96, 1 Mo 2.84
Al 0.0000 0.7487 0.0288  9 Al 2.67-2.96, 1 Mo 2.84
Al 0.0000 0.7487 0.4712  9 Al 2.67-2.96, 1 Mo 2.84
Al 0.0000 0.8419 0.2500  2 Mo 2.53
Al 0.0000 0.8445 0.6153  2 Mo 2.57-2.62, 7 Al 2.67-2.88
Al 0.0000 0.8445 0.8847  2 Mo 2.57-2.62, 7 Al 2.67-2.88
Al 0.1405 0.5454 0.2500  5 Al 2.71-2.82, 3 Mo 2.72-2.75
Al 0.1405 0.5951 0.7500  5 Al 2.71-2.82, 3 Mo 2.72-2.75
Al 0.1555 0.0000 0.1153  2 Mo 2.57-2.62, 7 Al 2.67-2.88
Al 0.1555 0.0000 0.3847  2 Mo 2.57-2.62, 7 Al 2.67-2.88
Al 0.1555 0.1555 0.6153  2 Mo 2.57-2.62, 7 Al 2.67-2.88
Al 0.1555 0.1555 0.8847  2 Mo 2.57-2.62, 7 Al 2.67-2.88
Al 0.1581 0.0000 0.7500  2 Mo 2.53
Al 0.1581 0.1581 0.2500  2 Mo 2.53
Al 0.1712 0.4001 0.6592  2 Mo 2.62-2.71, 6 Al 2.74-2.90
Al 0.1712 0.4001 0.8408  2 Mo 2.62-2.71, 6 Al 2.74-2.90
Al 0.1712 0.7711 0.1592  2 Mo 2.62-2.71, 6 Al 2.74-2.90
Al 0.1712 0.7711 0.3408  2 Mo 2.62-2.71, 6 Al 2.74-2.90
Al 0.2289 0.4001 0.1592  2 Mo 2.62-2.71, 6 Al 2.74-2.90
Al 0.2289 0.4001 0.3408  2 Mo 2.62-2.71, 6 Al 2.74-2.90
Al 0.2289 0.8288 0.6592  2 Mo 2.62-2.71, 6 Al 2.74-2.90
Al 0.2289 0.8288 0.8408  2 Mo 2.62-2.71, 6 Al 2.74-2.90
Al 0.2513 0.0000 0.5288  9 Al 2.67-2.96, 1 Mo 2.84
Al 0.2513 0.0000 0.9712  9 Al 2.67-2.96, 1 Mo 2.84
Al 0.2513 0.2513 0.0288  9 Al 2.67-2.96, 1 Mo 2.84
Al 0.2513 0.2513 0.4712  9 Al 2.67-2.96, 1 Mo 2.84
Al 0.2522 0.5045 0.0000  6 Al 2.71-2.90, 2 Mo 2.77, 2 U 3.00
Al 0.2522 0.5045 0.5000  6 Al 2.71-2.90, 2 Mo 2.77, 2 U 3.00
Al 0.2522 0.7478 0.0000  6 Al 2.71-2.90, 2 Mo 2.77, 2 U 3.00
Al 0.2522 0.7478 0.5000  6 Al 2.71-2.90, 2 Mo 2.77, 2 U 3.00
Al 0.4001 0.1712 0.6592  2 Mo 2.62-2.71, 6 Al 2.74-2.90
Al 0.4001 0.1712 0.8408  2 Mo 2.62-2.71, 6 Al 2.74-2.90
Al 0.4001 0.2289 0.1592  2 Mo 2.62-2.71, 6 Al 2.74-2.90
Al 0.4001 0.2289 0.3408  2 Mo 2.62-2.71, 6 Al 2.74-2.90
Al 0.4049 0.5454 0.7500  5 Al 2.71-2.82, 3 Mo 2.72-2.75
Al 0.4049 0.8595 0.2500  5 Al 2.71-2.82, 3 Mo 2.72-2.75
Al 0.4546 0.5951 0.2500  5 Al 2.71-2.82, 3 Mo 2.72-2.75
Al 0.4546 0.8595 0.7500  5 Al 2.71-2.82, 3 Mo 2.72-2.75
Al 0.4955 0.7478 0.0000  6 Al 2.71-2.90, 2 Mo 2.77, 2 U 3.00
Al 0.4955 0.7478 0.5000  6 Al 2.71-2.90, 2 Mo 2.77, 2 U 3.00
Al 0.5045 0.2522 0.0000  6 Al 2.71-2.90, 2 Mo 2.77, 2 U 3.00
Al 0.5045 0.2522 0.5000  6 Al 2.71-2.90, 2 Mo 2.77, 2 U 3.00
Al 0.5454 0.1405 0.2500  5 Al 2.71-2.82, 3 Mo 2.72-2.75
Al 0.5454 0.4049 0.7500  5 Al 2.71-2.82, 3 Mo 2.72-2.75
Al 0.5951 0.1405 0.7500  5 Al 2.71-2.82, 3 Mo 2.72-2.75
Al 0.5951 0.4546 0.2500  5 Al 2.71-2.82, 3 Mo 2.72-2.75
Al 0.5999 0.7711 0.6592  2 Mo 2.62-2.71, 6 Al 2.74-2.90
Al 0.5999 0.7711 0.8408  2 Mo 2.62-2.71, 6 Al 2.74-2.90
Al 0.5999 0.8288 0.1592  2 Mo 2.62-2.71, 6 Al 2.74-2.90
Al 0.5999 0.8288 0.3408  2 Mo 2.62-2.71, 6 Al 2.74-2.90
Al 0.7478 0.2522 0.0000  6 Al 2.71-2.90, 2 Mo 2.77, 2 U 3.00
Al 0.7478 0.2522 0.5000  6 Al 2.71-2.90, 2 Mo 2.77, 2 U 3.00
Al 0.7478 0.4955 0.0000  6 Al 2.71-2.90, 2 Mo 2.77, 2 U 3.00
Al 0.7478 0.4955 0.5000  6 Al 2.71-2.90, 2 Mo 2.77, 2 U 3.00
Al 0.7487 0.0000 0.0288  9 Al 2.67-2.96, 1 Mo 2.84
Al 0.7487 0.0000 0.4712  9 Al 2.67-2.96, 1 Mo 2.84
Al 0.7487 0.7487 0.5288  9 Al 2.67-2.96, 1 Mo 2.84
Al 0.7487 0.7487 0.9712  9 Al 2.67-2.96, 1 Mo 2.84
Al 0.7711 0.1712 0.1592  2 Mo 2.62-2.71, 6 Al 2.74-2.90
Al 0.7711 0.1712 0.3408  2 Mo 2.62-2.71, 6 Al 2.74-2.90
Al 0.7711 0.5999 0.6592  2 Mo 2.62-2.71, 6 Al 2.74-2.90
Al 0.7711 0.5999 0.8408  2 Mo 2.62-2.71, 6 Al 2.74-2.90
Al 0.8288 0.2289 0.6592  2 Mo 2.62-2.71, 6 Al 2.74-2.90
Al 0.8288 0.2289 0.8408  2 Mo 2.62-2.71, 6 Al 2.74-2.90
Al 0.8288 0.5999 0.1592  2 Mo 2.62-2.71, 6 Al 2.74-2.90
Al 0.8288 0.5999 0.3408  2 Mo 2.62-2.71, 6 Al 2.74-2.90
Al 0.8419 0.0000 0.2500  2 Mo 2.53
Al 0.8419 0.8419 0.7500  2 Mo 2.53
Al 0.8445 0.0000 0.6153  2 Mo 2.57-2.62, 7 Al 2.67-2.88
Al 0.8445 0.0000 0.8847  2 Mo 2.57-2.62, 7 Al 2.67-2.88
Al 0.8445 0.8445 0.1153  2 Mo 2.57-2.62, 7 Al 2.67-2.88
Al 0.8445 0.8445 0.3847  2 Mo 2.57-2.62, 7 Al 2.67-2.88
Al 0.8595 0.4049 0.2500  5 Al 2.71-2.82, 3 Mo 2.72-2.75
Al 0.8595 0.4546 0.7500  5 Al 2.71-2.82, 3 Mo 2.72-2.75
Mo 0.0000 0.0000 0.0000  12 Al 2.62-2.84
Mo 0.0000 0.0000 0.5000  12 Al 2.62-2.84
Mo 0.0000 0.2607 0.2500  10 Al 2.53-2.75
Mo 0.0000 0.7393 0.7500  10 Al 2.53-2.75
Mo 0.2607 0.0000 0.2500  10 Al 2.53-2.75
Mo 0.2607 0.2607 0.7500  10 Al 2.53-2.75
Mo 0.3333 0.6667 0.1347  9 Al 2.62-2.77
Mo 0.3333 0.6667 0.3653  9 Al 2.62-2.77
Mo 0.3333 0.6667 0.6347  9 Al 2.62-2.77
Mo 0.3333 0.6667 0.8653  9 Al 2.62-2.77
Mo 0.6667 0.3333 0.1347  9 Al 2.62-2.77
Mo 0.6667 0.3333 0.3653  9 Al 2.62-2.77
Mo 0.6667 0.3333 0.6347  9 Al 2.62-2.77
Mo 0.6667 0.3333 0.8653  9 Al 2.62-2.77
Mo 0.7393 0.0000 0.7500  10 Al 2.53-2.75
Mo 0.7393 0.7393 0.2500  10 Al 2.53-2.75



Entry 2:
Computed, not measured: a geometry-optimized UAlMo structure at the PBE level of DFT.

Properties
The calculation puts the polymorph energy (0 for the lowest one) at 0.01 eV/f.u.

a b c (Å): 6.1745 6.1745 6.1745
angles (deg): 150.88 150.88 41.66
With the nearest neighbours (Å) after each atom.
Atoms (fractional coordinates):
U 0.0000 0.0000 0.0000  4 Mo 2.85, 4 U 3.10
Al 0.7041 0.7041 0.0000  4 Mo 2.71
Mo 0.3421 0.3421 0.0000  4 Al 2.71, 4 U 2.85



Entry 3:
Computed, not measured: a geometry-optimized UAlMo structure at the PBE level of DFT.

Properties
The calculation puts the polymorph energy (0 for the lowest one) at 0.22 eV/f.u.

a b c (Å): 5.4297 2.7802 7.4786
angles (deg): 90.00 90.00 90.00
With the nearest neighbours (Å) after each atom.
Atoms (fractional coordinates):
U 0.2500 0.0000 0.1435  2 U 2.78, 2 Mo 2.99
U 0.7500 0.0000 0.8565  2 U 2.78, 2 Mo 2.99
Al 0.2500 0.5000 0.7689  2 Al 2.78, 4 Mo 2.80
Al 0.7500 0.5000 0.2311  2 Al 2.78, 4 Mo 2.80
Mo 0.0000 0.0000 0.5000  4 Mo 2.71-2.78, 4 Al 2.80, 2 U 2.99
Mo 0.5000 0.0000 0.5000  4 Mo 2.71-2.78, 4 Al 2.80, 2 U 2.99



Entry 4:
Computed, not measured: a geometry-optimized U2AlMo structure at the PBE level of DFT.

a b c (Å): 11.6120 11.6120 11.6120
angles (deg): 13.96 13.96 13.96
With the nearest neighbours (Å) after each atom.
Atoms (fractional coordinates):
U 0.0875 0.0875 0.0875  6 U 2.82, 1 Al 3.02
U 0.9125 0.9125 0.9125  6 U 2.82, 1 Al 3.02
Al 0.0000 0.0000 0.0000  6 Al 2.82, 2 U 3.02
Mo 0.5000 0.5000 0.5000  6 Mo 2.82



In eV/f.u., the formation enthalpy at 0 K values for the records above are, in order, -12.4 0.4 0.6 1.9.